Entry 1:
The following is a PBE-GGA calculation of a geometry-optimized NiMoAs2 structure, from Alexandria.

a = 5.211 Å, b = 5.043 Å, c = 2.943 Å
α = 73.10°, β = 89.87°, γ = 121.06°
Element x y z (fractional)
As  0.000  0.000  0.000
As  0.500  0.000  0.500
Mo  0.000  0.500  0.500
Ni  0.500  0.500  0.000

Results
DOS(E_F) = 2.6 states/eV per cell
E_tot = -6.236 eV per atom
magnetic moment = 0.000 μB/cell

***

Entry 2:
The following is a PBE-GGA calculation of a geometry-optimized CrGa2N structure, from Alexandria.

a = 6.415 Å, b = 6.415 Å, c = 5.257 Å
α = 52.40°, β = 52.40°, γ = 90.00°
Element x y z (fractional)
Cr  0.000  0.000  0.000
Cr  0.750  0.250  0.500
Ga  0.552  0.125  0.250
Ga  0.198  0.625  0.250
Ga  0.375  0.448  0.750
Ga  0.875  0.802  0.750
N  0.500  0.500  0.000
N  0.250  0.750  0.500

Results
ΔE_f (raw) = 0.35 eV/atom
DOS(E_F) = 3.6 states/eV per cell
magnetic moment = 7.023 μB/cell

***

Entry 3:
The following is a PBE-GGA calculation of a geometry-optimized V2CrBiRh structure, from Alexandria.

a = 4.557 Å, b = 5.047 Å, c = 4.557 Å
α = 90.00°, β = 90.00°, γ = 90.00°
Element x y z (fractional)
Cr  0.500  0.500  0.500
Rh  0.000  0.000  0.000
Bi  0.000  0.500  0.000
V  0.000  0.000  0.500
V  0.500  0.000  0.000

Results
DOS(E_F) = 10.7 states/eV per cell
E_tot = -6.288 eV per atom
magnetic moment = 0.498 μB/cell

***

Entry 4:
The following is a PBE-GGA calculation of a geometry-optimized Tb2ZnGa4Ir3 structure, from Alexandria.

a = 4.037 Å, b = 4.037 Å, c = 11.246 Å
α = 90.00°, β = 90.00°, γ = 90.00°
Element x y z (fractional)
Tb  0.500  0.000  0.243
Tb  0.000  0.500  0.757
Zn  0.500  0.500  0.500
Ga  0.500  0.500  0.000
Ga  0.000  0.000  0.000
Ga  0.500  0.000  0.637
Ga  0.000  0.500  0.363
Ir  0.000  0.000  0.500
Ir  0.500  0.000  0.860
Ir  0.000  0.500  0.140

Results
DOS(E_F) = 4.4 states/eV per cell
E_tot = -5.559 eV per atom
magnetic moment = 0.000 μB/cell